YSnAu: relaxed, PBE.

Properties
Energy of formation: -0.727 eV/atom

Structure (CIF):
```
data_YSnAu
_symmetry_space_group_name_H-M 'P -1'
_symmetry_Int_Tables_number 2
_cell_length_a 4.456
_cell_length_b 6.064
_cell_length_c 6.204
_cell_angle_alpha 72.99
_cell_angle_beta 68.97
_cell_angle_gamma 68.53
loop_
_symmetry_equiv_pos_as_xyz
'x,y,z'
'-x,-y,-z'
loop_
_atom_site_label
_atom_site_type_symbol
_atom_site_fract_x
_atom_site_fract_y
_atom_site_fract_z
_atom_site_occupancy
Y1 Y 0.060 0.201 0.178 1
Sn1 Sn 0.337 0.220 0.606 1
Au1 Au 0.346 0.606 0.200 1
```



TbYGaNi: relaxed, PBE.

Properties
Energy of formation: -0.445 eV/atom
Energy above the lowest structure with this stoichiometry: 0.22 eV/f.u.

Structure (CIF):
```
data_TbYGaNi
_symmetry_space_group_name_H-M 'F -4 3 m'
_symmetry_Int_Tables_number 216
_symmetry_space_group_name_Hall 'F -4 2 3'
_cell_length_a 7.007
_cell_length_b 7.007
_cell_length_c 7.007
_cell_angle_alpha 90.00
_cell_angle_beta 90.00
_cell_angle_gamma 90.00
loop_
_atom_site_label
_atom_site_type_symbol
_atom_site_fract_x
_atom_site_fract_y
_atom_site_fract_z
_atom_site_occupancy
Tb1 Tb 0.000 0.000 0.000 1
Y1 Y 0.000 0.000 0.500 1
Ga1 Ga 0.250 0.250 0.250 1
Ni1 Ni 0.250 0.250 0.750 1
```



Th2Co2H7: relaxed, PBE.

Properties
Raw total energy: -4.955 eV per atom

Structure (CIF):
```
data_Th2Co2H7
_symmetry_space_group_name_H-M 'C 1 2/m 1'
_symmetry_Int_Tables_number 12
_cell_length_a 6.625
_cell_length_b 8.754
_cell_length_c 3.663
_cell_angle_alpha 90.00
_cell_angle_beta 102.56
_cell_angle_gamma 90.00
loop_
_symmetry_equiv_pos_as_xyz
'x,y,z'
'-x,-y,-z'
'-x,y,-z'
'x,-y,z'
'x+1/2,y+1/2,z'
'-x+1/2,-y+1/2,-z'
'-x+1/2,y+1/2,-z'
'x+1/2,-y+1/2,z'
loop_
_atom_site_label
_atom_site_type_symbol
_atom_site_fract_x
_atom_site_fract_y
_atom_site_fract_z
_atom_site_occupancy
Th1 Th 0.000 0.231 0.000 1
Co1 Co 0.213 0.500 0.514 1
H1 H 0.000 0.000 0.500 1
H2 H 0.040 0.500 0.769 1
H3 H 0.216 0.163 0.596 1
```



Li2UPaTe4: relaxed, PBE.

Properties
Energy relative to the elements, uncorrected: -0.81 eV/atom

Structure (CIF):
```
data_Li2UPaTe4
_symmetry_space_group_name_H-M 'P 1 2/m 1'
_symmetry_Int_Tables_number 10
_cell_length_a 7.343
_cell_length_b 4.230
_cell_length_c 7.715
_cell_angle_alpha 90.00
_cell_angle_beta 108.42
_cell_angle_gamma 90.00
loop_
_symmetry_equiv_pos_as_xyz
'x,y,z'
'-x,-y,-z'
'-x,y,-z'
'x,-y,z'
loop_
_atom_site_label
_atom_site_type_symbol
_atom_site_fract_x
_atom_site_fract_y
_atom_site_fract_z
_atom_site_occupancy
Li1 Li 0.000 0.000 0.000 1
Li2 Li 0.500 0.500 0.000 1
U1 U 0.000 0.500 0.500 1
Pa1 Pa 0.500 0.000 0.500 1
Te1 Te 0.246 0.500 0.235 1
Te2 Te 0.255 0.000 0.763 1
```



Please write out number 3 again, unchanged.
Th2Co2H7: relaxed, PBE.

Properties
Raw total energy: -4.955 eV per atom

Structure (CIF):
```
data_Th2Co2H7
_symmetry_space_group_name_H-M 'C 1 2/m 1'
_symmetry_Int_Tables_number 12
_cell_length_a 6.625
_cell_length_b 8.754
_cell_length_c 3.663
_cell_angle_alpha 90.00
_cell_angle_beta 102.56
_cell_angle_gamma 90.00
loop_
_symmetry_equiv_pos_as_xyz
'x,y,z'
'-x,-y,-z'
'-x,y,-z'
'x,-y,z'
'x+1/2,y+1/2,z'
'-x+1/2,-y+1/2,-z'
'-x+1/2,y+1/2,-z'
'x+1/2,-y+1/2,z'
loop_
_atom_site_label
_atom_site_type_symbol
_atom_site_fract_x
_atom_site_fract_y
_atom_site_fract_z
_atom_site_occupancy
Th1 Th 0.000 0.231 0.000 1
Co1 Co 0.213 0.500 0.514 1
H1 H 0.000 0.000 0.500 1
H2 H 0.040 0.500 0.769 1
H3 H 0.216 0.163 0.596 1
```